{
  "formula": "NaHo4In5",
  "functional": "GGA-PBE",
  "state": "relaxed",
  "lattice_angstrom": [[3.721, 0.000, 0.000], [0.000, 3.721, 0.000], [0.000, 0.000, 19.052]],
  "species": ["Na", "Ho", "Ho", "Ho", "Ho", "In", "In", "In", "In", "In"],
  "frac_coords": [[0.000, 0.000, 0.000], [0.000, 0.000, 0.199], [0.000, 0.000, 0.400], [0.000, 0.000, 0.600], [0.000, 0.000, 0.801], [0.500, 0.500, 0.102], [0.500, 0.500, 0.301], [0.500, 0.500, 0.500], [0.500, 0.500, 0.699], [0.500, 0.500, 0.898]],
  "crystal_system": "tetragonal",
  "formation_enthalpy_0k_mev_per_atom": -374
}


{
  "formula": "NaHoIn2",
  "functional": "GGA-PBE",
  "state": "relaxed",
  "lattice_angstrom": [[5.203, 0.000, 0.000], [0.000, 5.203, 0.000], [0.000, 0.000, 3.830]],
  "species": ["Na", "Ho", "In", "In"],
  "frac_coords": [[0.000, 0.000, 0.000], [0.500, 0.500, 0.000], [0.000, 0.500, 0.500], [0.500, 0.000, 0.500]],
  "crystal_system": "tetragonal",
  "formation_enthalpy_0k_mev_per_atom": -297
}


{
  "formula": "NaNdHoIn",
  "functional": "GGA-PBE",
  "state": "relaxed",
  "lattice_angstrom": [[7.727, 0.000, 0.000], [0.000, 7.727, 0.000], [0.000, 0.000, 7.727]],
  "species": ["Na", "Na", "Na", "Na", "Nd", "Nd", "Nd", "Nd", "Ho", "Ho", "Ho", "Ho", "In", "In", "In", "In"],
  "frac_coords": [[0.000, 0.000, 0.000], [0.000, 0.500, 0.500], [0.500, 0.000, 0.500], [0.500, 0.500, 0.000], [0.250, 0.250, 0.750], [0.250, 0.750, 0.250], [0.750, 0.250, 0.250], [0.750, 0.750, 0.750], [0.250, 0.250, 0.250], [0.250, 0.750, 0.750], [0.750, 0.250, 0.750], [0.750, 0.750, 0.250], [0.000, 0.000, 0.500], [0.000, 0.500, 0.000], [0.500, 0.000, 0.000], [0.500, 0.500, 0.500]],
  "crystal_system": "cubic",
  "formation_enthalpy_0k_mev_per_atom": -135
}


{
  "formula": "Na2HoInO4",
  "functional": "GGA-PBE",
  "state": "relaxed",
  "lattice_angstrom": [[5.756, 0.000, 0.000], [0.000, 3.352, 0.000], [-1.950, 0.000, 5.594]],
  "species": ["Na", "Na", "Ho", "In", "O", "O", "O", "O"],
  "frac_coords": [[0.000, 0.000, 0.000], [0.500, 0.500, 0.000], [0.000, 0.500, 0.500], [0.500, 0.000, 0.500], [0.238, 0.000, 0.715], [0.268, 0.500, 0.286], [0.732, 0.500, 0.714], [0.762, 0.000, 0.285]],
  "crystal_system": "monoclinic",
  "formation_energy_uncorrected_ev_per_fu": -17.65
}


{
  "formula": "Na3Ho2InO6",
  "functional": "GGA-PBE",
  "state": "relaxed",
  "lattice_angstrom": [[2.910, -5.042, 0.000], [2.910, 5.042, 0.000], [-1.933, 0.000, 5.590]],
  "species": ["Na", "Na", "Na", "Ho", "Ho", "In", "O", "O", "O", "O", "O", "O"],
  "frac_coords": [[0.000, 0.000, 0.000], [0.338, 0.662, 0.000], [0.662, 0.338, 0.000], [0.167, 0.833, 0.500], [0.833, 0.167, 0.500], [0.500, 0.500, 0.500], [0.099, 0.429, 0.286], [0.240, 0.240, 0.713], [0.429, 0.099, 0.286], [0.571, 0.901, 0.714], [0.760, 0.760, 0.287], [0.901, 0.571, 0.714]],
  "crystal_system": "monoclinic",
  "formation_energy_uncorrected_ev_per_fu": -28.87
}


{
  "formula": "NaPmHoIn",
  "functional": "GGA-PBE",
  "state": "relaxed",
  "lattice_angstrom": [[7.701, 0.000, 0.000], [0.000, 7.701, 0.000], [0.000, 0.000, 7.701]],
  "species": ["Na", "Na", "Na", "Na", "Pm", "Pm", "Pm", "Pm", "Ho", "Ho", "Ho", "Ho", "In", "In", "In", "In"],
  "frac_coords": [[0.000, 0.000, 0.000], [0.000, 0.500, 0.500], [0.500, 0.000, 0.500], [0.500, 0.500, 0.000], [0.250, 0.250, 0.750], [0.250, 0.750, 0.250], [0.750, 0.250, 0.250], [0.750, 0.750, 0.750], [0.250, 0.250, 0.250], [0.250, 0.750, 0.750], [0.750, 0.250, 0.750], [0.750, 0.750, 0.250], [0.000, 0.000, 0.500], [0.000, 0.500, 0.000], [0.500, 0.000, 0.000], [0.500, 0.500, 0.500]],
  "crystal_system": "cubic",
  "formation_enthalpy_0k_mev_per_atom": -133
}


| no. | DFT total energy (eV per atom) |
| --- | --- |
| 1 | -3.706 |
| 2 | -3.141 |
| 3 | -3.485 |
| 4 | -5.930 |
| 5 | -6.206 |
| 6 | -3.479 |